(1)
MgPb3I2Br6: optimized geometry, PBE.

a = 8.708 Å, b = 8.708 Å, c = 6.944 Å
α = 92.96°, β = 92.96°, γ = 58.64°
Atoms (fractional coordinates):
Mg 0.000 0.000 0.000
Pb 0.000 0.500 0.000
Pb 0.500 0.000 0.000
Pb 0.500 0.500 0.500
I 0.312 0.312 0.688
I 0.688 0.688 0.312
Br 0.150 0.150 0.217
Br 0.164 0.696 0.226
Br 0.304 0.836 0.774
Br 0.696 0.164 0.226
Br 0.836 0.304 0.774
Br 0.850 0.850 0.783

Values from the calculation:
**SG**: C2/m (12)
**Uncorrected formation energy**: -91.21 kJ/mol of atoms

***

(2)
Pu3UPa2P6: optimized geometry, PBE.

a = 8.866 Å, b = 8.866 Å, c = 7.947 Å
α = 102.31°, β = 102.31°, γ = 25.86°
Atoms (fractional coordinates):
Pu 0.000 0.000 0.000
Pu 0.333 0.333 0.665
Pu 0.667 0.667 0.335
U 0.000 0.000 0.500
Pa 0.334 0.334 0.164
Pa 0.666 0.666 0.836
P 0.166 0.166 0.585
P 0.168 0.168 0.084
P 0.499 0.499 0.254
P 0.501 0.501 0.746
P 0.832 0.832 0.916
P 0.834 0.834 0.415

Values from the calculation:
**Energy of formation**: -1193 meV/atom
**SG**: C2/m (12)

***

(3)
BaNaSnAs2: optimized geometry, PBE.

a = 8.092 Å, b = 8.092 Å, c = 10.811 Å
α = 126.30°, β = 126.30°, γ = 35.73°
Atoms (fractional coordinates):
Ba 0.205 0.205 0.142
Ba 0.795 0.795 0.858
Na 0.355 0.355 0.582
Na 0.645 0.645 0.418
Sn 0.047 0.047 0.706
Sn 0.953 0.953 0.294
As 0.162 0.162 0.584
As 0.417 0.417 0.144
As 0.583 0.583 0.856
As 0.838 0.838 0.416

Values from the calculation:
**Energy of formation**: -565 meV/atom
**SG**: C2/m (12)

***

(4)
KIn2Pb3: optimized geometry, PBE.

a = 8.368 Å, b = 8.368 Å, c = 6.197 Å
α = 90.00°, β = 90.00°, γ = 86.09°
Atoms (fractional coordinates):
K 0.191 0.809 0.750
K 0.809 0.191 0.250
In 0.252 0.252 0.000
In 0.252 0.252 0.500
In 0.748 0.748 0.000
In 0.748 0.748 0.500
Pb 0.053 0.569 0.250
Pb 0.431 0.947 0.250
Pb 0.446 0.554 0.250
Pb 0.554 0.446 0.750
Pb 0.569 0.053 0.750
Pb 0.947 0.431 0.750

Values from the calculation:
**Energy of formation**: -28 meV/atom
**Energy above the most stable polymorph in this dataset**: 18 meV per atom
**SG**: Cmcm (63)

***

(5)
ScGa2W: optimized geometry, PBE.

a = 9.901 Å, b = 9.901 Å, c = 9.901 Å
α = 156.53°, β = 156.53°, γ = 33.43°
Atoms (fractional coordinates):
Sc 0.000 0.000 0.000
Sc 0.750 0.250 0.500
Ga 0.172 0.625 0.047
Ga 0.375 0.422 0.547
Ga 0.578 0.125 0.953
Ga 0.875 0.828 0.453
W 0.250 0.750 0.500
W 0.500 0.500 0.000

Values from the calculation:
**Energy of formation**: 368 meV/atom
**Energy above the most stable polymorph in this dataset**: 407 meV per atom
**SG**: I-42d (122)

***

(6)
Sm3Ni2Rh: optimized geometry, PBE.

a = 11.544 Å, b = 3.986 Å, c = 11.696 Å
α = 90.00°, β = 90.00°, γ = 90.00°
Atoms (fractional coordinates):
Sm 0.057 0.250 0.123
Sm 0.122 0.750 0.559
Sm 0.207 0.250 0.809
Sm 0.293 0.750 0.309
Sm 0.378 0.250 0.059
Sm 0.443 0.750 0.623
Sm 0.557 0.250 0.377
Sm 0.622 0.750 0.941
Sm 0.707 0.250 0.691
Sm 0.793 0.750 0.191
Sm 0.878 0.250 0.441
Sm 0.943 0.750 0.877
Ni 0.013 0.750 0.304
Ni 0.182 0.750 0.993
Ni 0.318 0.250 0.493
Ni 0.487 0.250 0.804
Ni 0.513 0.750 0.196
Ni 0.682 0.750 0.507
Ni 0.818 0.250 0.007
Ni 0.987 0.250 0.696
Rh 0.125 0.250 0.373
Rh 0.375 0.750 0.873
Rh 0.625 0.250 0.127
Rh 0.875 0.750 0.627

Values from the calculation:
**Energy of formation**: -426 meV/atom
**SG**: Pnma (62)

***

(7)
LiPr2DyHg4: optimized geometry, PBE.

a = 9.240 Å, b = 9.240 Å, c = 9.240 Å
α = 33.16°, β = 33.16°, γ = 33.16°
Atoms (fractional coordinates):
Li 0.000 0.000 0.000
Pr 0.254 0.254 0.254
Pr 0.746 0.746 0.746
Dy 0.500 0.500 0.500
Hg 0.126 0.126 0.126
Hg 0.375 0.375 0.375
Hg 0.625 0.625 0.625
Hg 0.874 0.874 0.874

Values from the calculation:
**Energy of formation**: -452 meV/atom
**SG**: R-3m (166)

***

(8)
TaCr2Au: optimized geometry, PBE.

a = 5.710 Å, b = 5.710 Å, c = 5.710 Å
α = 104.00°, β = 104.00°, γ = 121.07°
Atoms (fractional coordinates):
Ta 0.000 0.000 0.000
Ta 0.750 0.250 0.500
Cr 0.123 0.125 0.498
Cr 0.375 0.877 0.002
Cr 0.627 0.625 0.502
Cr 0.875 0.373 0.998
Au 0.250 0.750 0.500
Au 0.500 0.500 0.000

Values from the calculation:
**Energy of formation**: 797 meV/atom
**Energy above the most stable polymorph in this dataset**: 718 meV per atom
**SG**: I-42d (122)

***

Density
In order: 5.102, 10.105, 4.400, 6.830, 7.952, 8.286, 9.912, 11.524
Unit: g cm⁻³